VASP calculation (GGA-PBE) on KLaAl2 after structural relaxation.

Calculated values
Its calculated density is 3.03 g/cm3. The space group is No. 123. For the total energy, the calculation gives -3.327 eV/atom. As for the energy above the most stable polymorph in this dataset: 0.6 kJ/mol of atoms.

a b c (Å): 3.951 3.951 8.156
angles (deg): 90.00 90.00 90.00
Atoms (fractional coordinates):
K 0.000 0.000 0.000
La 0.000 0.000 0.500
Al 0.500 0.500 0.304
Al 0.500 0.500 0.696

VASP calculation (GGA-PBE) on KLaAl2 after structural relaxation.

Calculated values
Its calculated density is 3.07 g/cm3. The space group is No. 122. For the total energy, the calculation gives -2.904 eV/atom. As for the energy above the most stable polymorph in this dataset: 41.3 kJ/mol of atoms.

a b c (Å): 7.021 7.021 7.021
angles (deg): 102.20 102.20 125.26
Atoms (fractional coordinates):
K 0.000 0.000 0.000
K 0.750 0.250 0.500
La 0.250 0.750 0.500
La 0.500 0.500 0.000
Al 0.140 0.625 0.015
Al 0.375 0.390 0.515
Al 0.610 0.125 0.985
Al 0.875 0.860 0.485

> Which formula does entry 2 have?

KLaAl2

> Number 2 is which compound?

KLaAl2

Please write out number 1 again, unchanged.
VASP calculation (GGA-PBE) on KLaAl2 after structural relaxation.

Calculated values
Its calculated density is 3.03 g/cm3. The space group is No. 123. For the total energy, the calculation gives -3.327 eV/atom. As for the energy above the most stable polymorph in this dataset: 0.6 kJ/mol of atoms.

a b c (Å): 3.951 3.951 8.156
angles (deg): 90.00 90.00 90.00
Atoms (fractional coordinates):
K 0.000 0.000 0.000
La 0.000 0.000 0.500
Al 0.500 0.500 0.304
Al 0.500 0.500 0.696

> Among the records above, which one has the lowest calculated density?

number 1